PBE Ba2Sb5Rh3, optimized geometry; formation energy (no corrections) = -657 meV per atom; magnetization = 0.00 μB/cell
1.0
-5.507 6.640 3.439
5.507 -6.640 3.439
5.507 6.640 -3.439
Ba Sb Rh
4 10 6
Direct
0.138 0.239 0.377 Ba
0.362 0.739 0.101 Ba
0.638 0.261 0.899 Ba
0.862 0.761 0.623 Ba
0.007 0.750 0.257 Sb
0.094 0.653 0.746 Sb
0.250 0.250 0.000 Sb
0.406 0.153 0.559 Sb
0.493 0.750 0.743 Sb
0.507 0.250 0.257 Sb
0.594 0.847 0.441 Sb
0.750 0.750 0.000 Sb
0.906 0.347 0.254 Sb
0.993 0.250 0.743 Sb
0.132 0.891 0.023 Rh
0.250 0.750 0.500 Rh
0.368 0.391 0.760 Rh
0.632 0.609 0.240 Rh
0.750 0.250 0.500 Rh
0.868 0.109 0.977 Rh

=====

PBE BaSb2Rh, optimized geometry; formation energy (no corrections) = -663 meV per atom; magnetization = 0.00 μB/cell
1.0
4.344 0.000 0.000
-2.172 3.762 0.000
0.000 0.000 21.000
Ba Sb Rh
3 6 3
Direct
0.000 0.000 0.000 Ba
0.333 0.667 0.667 Ba
0.667 0.333 0.333 Ba
0.000 0.000 0.212 Sb
0.000 0.000 0.443 Sb
0.333 0.667 0.110 Sb
0.333 0.667 0.878 Sb
0.667 0.333 0.545 Sb
0.667 0.333 0.777 Sb
0.000 0.000 0.823 Rh
0.333 0.667 0.489 Rh
0.667 0.333 0.156 Rh

=====

PBE BaSb2Rh, optimized geometry; formation energy (no corrections) = -684 meV per atom; magnetization = 0.00 μB/cell
1.0
7.719 0.000 0.000
0.000 4.413 0.000
-2.519 0.000 6.555
Ba Sb Rh
2 4 2
Direct
0.000 0.000 0.000 Ba
0.500 0.500 0.000 Ba
0.217 0.000 0.651 Sb
0.283 0.500 0.349 Sb
0.717 0.500 0.651 Sb
0.783 0.000 0.349 Sb
0.000 0.500 0.500 Rh
0.500 0.000 0.500 Rh

=====

PBE BaSb2Rh, optimized geometry; formation energy (no corrections) = -440 meV per atom; magnetization = 0.00 μB/cell
1.0
3.508 0.000 0.000
0.000 6.172 0.000
0.000 0.000 10.294
Ba Sb Rh
2 4 2
Direct
0.000 0.000 0.000 Ba
0.500 0.500 0.500 Ba
0.000 0.500 0.196 Sb
0.000 0.500 0.804 Sb
0.500 0.000 0.304 Sb
0.500 0.000 0.696 Sb
0.000 0.000 0.500 Rh
0.500 0.500 0.000 Rh

=====

PBE Ba2Sb2Rh, optimized geometry; formation energy (no corrections) = -621 meV per atom; magnetization = 0.00 μB/cell
1.0
7.332 0.000 0.000
0.000 7.332 0.000
0.000 0.000 5.565
Ba Sb Rh
4 4 2
Direct
0.169 0.331 0.000 Ba
0.331 0.831 0.000 Ba
0.669 0.169 0.000 Ba
0.831 0.669 0.000 Ba
0.148 0.648 0.500 Sb
0.352 0.148 0.500 Sb
0.648 0.852 0.500 Sb
0.852 0.352 0.500 Sb
0.000 0.000 0.500 Rh
0.500 0.500 0.500 Rh

=====

PBE BaSb3Rh5, optimized geometry; formation energy (no corrections) = -543 meV per atom; magnetization = 0.00 μB/cell
1.0
2.109 -6.740 0.000
2.109 6.740 0.000
0.000 0.000 13.261
Ba Sb Rh
2 6 10
Direct
0.177 0.823 0.750 Ba
0.823 0.177 0.250 Ba
0.095 0.905 0.250 Sb
0.379 0.621 0.042 Sb
0.379 0.621 0.458 Sb
0.621 0.379 0.542 Sb
0.621 0.379 0.958 Sb
0.905 0.095 0.750 Sb
0.000 0.000 0.000 Rh
0.000 0.000 0.500 Rh
0.192 0.808 0.068 Rh
0.192 0.808 0.432 Rh
0.448 0.552 0.640 Rh
0.448 0.552 0.860 Rh
0.552 0.448 0.140 Rh
0.552 0.448 0.360 Rh
0.808 0.192 0.568 Rh
0.808 0.192 0.932 Rh

=====

PBE BaSbRh2, optimized geometry; formation energy (no corrections) = 338 meV per atom; magnetization = 2.60 μB/cell
1.0
7.151 0.000 0.000
0.000 7.151 0.000
0.000 0.000 7.151
Ba Sb Rh
4 4 8
Direct
0.000 0.000 0.000 Ba
0.000 0.500 0.500 Ba
0.500 0.000 0.500 Ba
0.500 0.500 0.000 Ba
0.250 0.250 0.250 Sb
0.250 0.750 0.750 Sb
0.750 0.250 0.750 Sb
0.750 0.750 0.250 Sb
0.000 0.000 0.500 Rh
0.000 0.500 0.000 Rh
0.250 0.250 0.750 Rh
0.250 0.750 0.250 Rh
0.500 0.000 0.000 Rh
0.500 0.500 0.500 Rh
0.750 0.250 0.250 Rh
0.750 0.750 0.750 Rh

=====

PBE BaSbRh3, optimized geometry; formation energy (no corrections) = 1574 meV per atom; magnetization = 0.00 μB/cell
1.0
5.071 0.000 0.000
0.000 5.071 0.000
0.000 0.000 5.071
Ba Sb Rh
1 1 3
Direct
0.000 0.000 0.000 Ba
0.500 0.500 0.500 Sb
0.000 0.000 0.500 Rh
0.000 0.500 0.000 Rh
0.500 0.000 0.000 Rh

=====

> Which formula does entry 3 have?

BaSb2Rh

=====

What did the third record say?
PBE BaSb2Rh, optimized geometry; formation energy (no corrections) = -684 meV per atom; magnetization = 0.00 μB/cell
1.0
7.719 0.000 0.000
0.000 4.413 0.000
-2.519 0.000 6.555
Ba Sb Rh
2 4 2
Direct
0.000 0.000 0.000 Ba
0.500 0.500 0.000 Ba
0.217 0.000 0.651 Sb
0.283 0.500 0.349 Sb
0.717 0.500 0.651 Sb
0.783 0.000 0.349 Sb
0.000 0.500 0.500 Rh
0.500 0.000 0.500 Rh

=====

> Number 5 is which compound?

Ba2Sb2Rh

=====

Copy entry 1 word for word.
PBE Ba2Sb5Rh3, optimized geometry; formation energy (no corrections) = -657 meV per atom; magnetization = 0.00 μB/cell
1.0
-5.507 6.640 3.439
5.507 -6.640 3.439
5.507 6.640 -3.439
Ba Sb Rh
4 10 6
Direct
0.138 0.239 0.377 Ba
0.362 0.739 0.101 Ba
0.638 0.261 0.899 Ba
0.862 0.761 0.623 Ba
0.007 0.750 0.257 Sb
0.094 0.653 0.746 Sb
0.250 0.250 0.000 Sb
0.406 0.153 0.559 Sb
0.493 0.750 0.743 Sb
0.507 0.250 0.257 Sb
0.594 0.847 0.441 Sb
0.750 0.750 0.000 Sb
0.906 0.347 0.254 Sb
0.993 0.250 0.743 Sb
0.132 0.891 0.023 Rh
0.250 0.750 0.500 Rh
0.368 0.391 0.760 Rh
0.632 0.609 0.240 Rh
0.750 0.250 0.500 Rh
0.868 0.109 0.977 Rh